No. 1
Density functional theory data (PBE) for a geometry-optimized TlZnSb2 structure.

```
4
Lattice="-1.664 0.643 2.725 0.295 -3.112 0.914 8.394 2.152 4.619" Properties=species:S:1:pos:R:3 pbc="T T T"
Sb 4.540 1.164 2.498
Zn 5.611 0.379 5.284
Sb 8.051 2.064 4.430
Tl 1.414 -0.697 2.974
```

DFT total energy = -2.830 eV/atom
ΔE to the lowest computed polymorph = 0.52 eV per formula unit
crystal system = tetragonal
formation energy (no corrections) = 141 meV/atom
magnetization = 0.0 Bohr magnetons per cell
space group = P4/mmm, No. 123

No. 2
Density functional theory data (PBE) for a geometry-optimized TlZnSb2 structure.

```
4
Lattice="-2.790 3.309 1.244 -3.001 -1.379 -3.062 -2.183 -3.184 3.574" Properties=species:S:1:pos:R:3 pbc="T T T"
Sb 0.000 0.000 0.000
Zn -2.592 -2.282 0.256
Tl -2.487 0.062 2.409
Sb -2.895 0.965 -0.909
```

DFT total energy = -2.762 eV/atom
ΔE to the lowest computed polymorph = 0.80 eV per formula unit
crystal system = tetragonal
formation energy (no corrections) = 209 meV/atom
magnetization = 0.0 Bohr magnetons per cell
space group = P4/mmm, No. 123

No. 3
Density functional theory data (PBE) for a geometry-optimized Tl3Zn4Sb4 structure.

```
11
Lattice="-3.742 2.978 -0.086 -0.839 -1.190 -4.717 -5.606 -10.705 6.281" Properties=species:S:1:pos:R:3 pbc="T T T"
Sb -3.539 -4.471 -0.826
Zn -8.235 -6.418 3.083
Zn -1.952 -2.499 -1.605
Tl 0.000 0.000 0.000
Zn -3.948 -4.905 1.939
Sb -7.036 -8.742 3.457
Sb -6.648 -4.446 2.304
Tl -6.029 -7.565 0.398
Zn -6.239 -4.012 -0.461
Tl -4.158 -1.352 1.080
Sb -3.150 -0.175 -1.979
```

DFT total energy = -2.589 eV/atom
crystal system = orthorhombic
formation energy (no corrections) = 19 meV/atom
magnetization = 0.0 Bohr magnetons per cell
space group = Immm, No. 71

No. 4
Density functional theory data (PBE) for a geometry-optimized TlZnSb2 structure.

```
4
Lattice="6.137 -0.112 0.000 -2.926 5.396 0.000 0.000 0.000 3.287" Properties=species:S:1:pos:R:3 pbc="T T T"
Zn -1.463 2.698 1.644
Sb 0.000 0.000 0.000
Sb 1.606 2.642 0.000
Tl 3.069 -0.056 1.644
```

DFT total energy = -2.755 eV/atom
ΔE to the lowest computed polymorph = 0.82 eV per formula unit
crystal system = orthorhombic
formation energy (no corrections) = 217 meV/atom
magnetization = 0.0 Bohr magnetons per cell
space group = Cmmm, No. 65

formation energy (no corrections) of number 4 (TlZnSb2)?
217 meV/atom

What is the magnetization in the first record?
0.0 Bohr magnetons per cell